Density functional theory data (PBE with a Hubbard U) for a relaxed structure of TbZrMoO6.

Cell and atoms, written as POSCAR:
```
TbZrMoO6
1.0
5.4474 0.0000 0.0000
-2.7237 4.7175 0.0000
0.0000 0.0000 9.1864
Tb Zr Mo O
2 2 2 12
Direct
0.3333 0.6667 0.2500
0.6667 0.3333 0.7500
0.0000 0.0000 0.0000
0.0000 0.0000 0.5000
0.3333 0.6667 0.7500
0.6667 0.3333 0.2500
0.0405 0.3493 0.6280
0.0405 0.6912 0.8720
0.3088 0.3493 0.8720
0.3088 0.9595 0.6280
0.3493 0.0405 0.1280
0.3493 0.3088 0.3720
0.6507 0.6912 0.6280
0.6507 0.9595 0.8720
0.6912 0.0405 0.3720
0.6912 0.6507 0.1280
0.9595 0.3088 0.1280
0.9595 0.6507 0.3720
```

Results
E_tot (eV/atom): -8.17
N(E_F) (states/eV/cell): 5.5